(1)
AcPmTm2 | Alexandria | PBE-GGA | relaxed; ρ = 8.44 g/cm3; total magnetization = 0.00 μB per cell; E_form = 0.1029 eV per atom; volume = 34.90 Å³ per atom; relative energy among the computed polymorphs = 50.3 meV/atom
1.0
-0.323 5.809 0.235
-3.538 2.868 -3.628
-4.808 2.568 2.047
Tm Pm Ac
2 1 1
direct
0.750 0.750 0.750
0.250 0.250 0.250
0.000 0.000 0.000
0.500 0.500 0.500

---

(2)
SrNiIr2 | Alexandria | PBE-GGA | relaxed; ρ = 11.62 g/cm3; total magnetization = 0.00 μB per cell; E_form = 0.2016 eV per atom; volume = 18.96 Å³ per atom; relative energy among the computed polymorphs = 3.1 meV/atom
1.0
-2.054 -4.035 1.475
0.650 -3.911 2.637
-2.255 1.714 5.062
Ir Sr Ni
2 1 1
direct
0.986 0.986 0.109
0.248 0.248 0.226
0.747 0.747 0.738
0.519 0.519 0.427

---

(3)
Mn3S | Alexandria | PBE-GGA | relaxed; formation energy (no corrections) = 16.8 kJ/mol of atoms; ρ = 7.23 g/cm3; total magnetization = 5.24 μB per cell; volume = 11.30 Å³ per atom; relative energy among the computed polymorphs = 73.4 meV/atom
1.0
-2.655 -2.362 -0.255
-0.120 -0.249 3.552
-2.373 2.655 0.106
Mn S
3 1
direct
0.500 0.500 0.000
0.500 0.000 0.500
0.000 0.500 0.500
0.000 0.000 0.000